# 1
The following is a GGA-PBE calculation of a relaxed NpTl2AgI6 crystal, from the Alexandria database.

abc: 8.0386 8.6912 14.0246
angles: 90.00 123.74 90.00
With the nearest neighbours (Å) after each atom.
Space group P2_1/c (No. 14)
Asymmetric unit:
Np 0.0000 0.0000 0.0000 (multiplicity 2)  6 I 3.11-3.12
Tl 0.2950 0.0954 0.7578 (multiplicity 4)  6 I 3.51-3.70
Ag 0.5000 0.0000 0.5000 (multiplicity 2)  6 I 3.04-3.12
I 0.1360 0.0270 0.2549 (multiplicity 4)  1 Ag 3.04, 1 Np 3.11
I 0.2364 0.6926 0.0539 (multiplicity 4)  1 Ag 3.11, 1 Np 3.12
I 0.3707 0.1929 0.0559 (multiplicity 4)  1 Np 3.12, 1 Ag 3.12

Results
For the uncorrected formation energy, the calculation gives -0.636 eV/atom. The electronic total energy comes out at -3.62 eV/atom. Its magnetization is 8.00 μB/cell. The volume comes out at 40.74 Å³ per atom.


# 2
The following is a GGA-PBE calculation of a relaxed NpTlAg2I6 crystal, from the Alexandria database.

abc: 8.0729 8.0729 23.9309
angles: 90.00 90.00 120.00
With the nearest neighbours (Å) after each atom.
Space group R-3 (No. 148, hexagonal axes)
Asymmetric unit:
Np 0.0000 0.0000 0.0000 (multiplicity 3)  6 I 3.12
Tl 0.0000 0.0000 0.5000 (multiplicity 3)  6 I 3.52
Ag 0.0000 0.0000 0.2635 (multiplicity 6)  3 I 2.78
I 0.0047 0.6935 0.9213 (multiplicity 18)  1 Ag 2.78

Results
For the uncorrected formation energy, the calculation gives -0.542 eV/atom. The electronic total energy comes out at -3.57 eV/atom. Its magnetization is 12.00 μB/cell. The volume comes out at 45.02 Å³ per atom.


# 3
The following is a GGA-PBE calculation of a relaxed NpTlAgI5 crystal, from the Alexandria database.

abc: 10.1031 13.6506 11.4312
angles: 90.00 113.23 90.00
With the nearest neighbours (Å) after each atom.
Space group C2/c (No. 15)
Asymmetric unit:
Np 0.0000 0.0000 0.0000 (multiplicity 4)  6 I 3.11-3.13
Tl 0.0000 0.3723 0.2500 (multiplicity 4)  5 I 3.52-3.80
Ag 0.0000 0.3083 0.7500 (multiplicity 4)  4 I 2.83-2.89
I 0.0000 0.0943 0.2500 (multiplicity 4)  2 Np 3.13
I 0.1360 0.1993 0.6185 (multiplicity 8)  1 Ag 2.83, 1 Np 3.11
I 0.1860 0.4344 0.9508 (multiplicity 8)  1 Ag 2.89, 1 Np 3.13

Results
For the uncorrected formation energy, the calculation gives -0.632 eV/atom. The electronic total energy comes out at -3.87 eV/atom. Its magnetization is 16.00 μB/cell. The volume comes out at 45.27 Å³ per atom.


Q: magnetization of number 3 (NpTlAgI5)?
A: 16.00 μB/cell


Q: Which value of electronic total energy does entry 2 give?
A: -3.57 eV/atom


Q: Which of these has the highest electronic total energy?
A: NpTlAg2I6


What did the second record say?
The following is a GGA-PBE calculation of a relaxed NpTlAg2I6 crystal, from the Alexandria database.

abc: 8.0729 8.0729 23.9309
angles: 90.00 90.00 120.00
With the nearest neighbours (Å) after each atom.
Space group R-3 (No. 148, hexagonal axes)
Asymmetric unit:
Np 0.0000 0.0000 0.0000 (multiplicity 3)  6 I 3.12
Tl 0.0000 0.0000 0.5000 (multiplicity 3)  6 I 3.52
Ag 0.0000 0.0000 0.2635 (multiplicity 6)  3 I 2.78
I 0.0047 0.6935 0.9213 (multiplicity 18)  1 Ag 2.78

Results
For the uncorrected formation energy, the calculation gives -0.542 eV/atom. The electronic total energy comes out at -3.57 eV/atom. Its magnetization is 12.00 μB/cell. The volume comes out at 45.02 Å³ per atom.